# V2O3F3

A relaxed structure of V2O3F3 (PBE+U, Alexandria).

Structure (POSCAR):
```
V2O3F3
1.0
5.311 0.000 0.000
2.627 4.645 0.000
0.250 0.239 13.144
V O F
6 9 9
Direct
0.000 0.000 0.000
0.012 0.968 0.510
0.330 0.314 0.838
0.409 0.297 0.337
0.683 0.646 0.669
0.720 0.668 0.177
0.054 0.483 0.758
0.151 0.179 0.938
0.387 0.769 0.597
0.498 0.500 0.263
0.584 0.961 0.250
0.695 0.109 0.938
0.745 0.141 0.424
0.848 0.858 0.598
0.933 0.723 0.093
0.026 0.422 0.270
0.191 0.606 0.440
0.238 0.651 0.923
0.279 0.063 0.426
0.407 0.786 0.090
0.508 0.929 0.778
0.613 0.378 0.756
0.860 0.248 0.111
0.938 0.310 0.582
```

Space-group type: P1
Total magnetization (μB per formula unit): 1.0
Relative energy among the computed polymorphs (meV per atom): 8